TcMo2HW after structural relaxation, computed with PBE.

Values from the calculation:
The calculation puts the relative energy among the computed polymorphs at 0.128 eV/f.u. The density of states at the Fermi level is 3.40 states/eV per cell.

a = 4.0053 Å, b = 4.0053 Å, c = 4.0440 Å
α = 90.00°, β = 90.00°, γ = 90.00°
Element x y z (fractional)
Mo  0.5000  0.0000  0.0000
Mo  0.0000  0.5000  0.0000
Tc  0.5000  0.5000  0.5000
H  0.0000  0.0000  0.0000
W  0.0000  0.0000  0.5000